Record 1
DFT (PBEsol) results for a relaxed structure of LaMgPb2.

The value obtained for the total magnetic moment is 0.000 μB/f.u. The value obtained for the calculated density is 8.7 g/cm³. The value obtained for the electronic total energy is -4.2337 eV per atom. As for the crystal system: tetragonal. As for the energy of formation from the pure elements: -468.5 meV per atom.

It has space group P4/mmm (No. 123), with a = 4.930 Å, b = 4.930 Å, c = 4.558 Å, α = 90.00°, β = 90.00° and γ = 90.00°. Symmetry generates all atoms from La at (0.000, 0.000, 0.000), Mg at (0.500, 0.500, 0.000) and Pb at (0.000, 0.500, 0.500).

Record 2
DFT (PBEsol) results for a relaxed structure of LaMg2Pb.

The value obtained for the total magnetic moment is 0.000 μB/f.u. The value obtained for the calculated density is 6.1 g/cm³. The value obtained for the electronic total energy is -3.5402 eV per atom. As for the crystal system: tetragonal. As for the energy of formation from the pure elements: -345.4 meV per atom.

It has space group P4/mmm (No. 123), with a = 4.672 Å, b = 4.672 Å, c = 4.916 Å, α = 90.00°, β = 90.00° and γ = 90.00°. Symmetry generates all atoms from La at (0.000, 0.000, 0.000), Mg at (0.000, 0.500, 0.500) and Pb at (0.500, 0.500, 0.000).

Record 3
DFT (PBEsol) results for a relaxed structure of La2MgTaPb.

The value obtained for the total magnetic moment is 0.001 μB/f.u. The value obtained for the calculated density is 6.8 g/cm³. The value obtained for the electronic total energy is -5.3733 eV per atom. As for the crystal system: tetragonal. As for the energy of formation from the pure elements: 418.6 meV per atom.

It has space group P4/mmm (No. 123), with a = 5.550 Å, b = 5.550 Å, c = 5.465 Å, α = 90.00°, β = 90.00° and γ = 90.00°. Symmetry generates all atoms from La at (0.000, 0.500, 0.000), Mg at (0.000, 0.000, 0.500), Ta at (0.500, 0.500, 0.000) and Pb at (0.500, 0.500, 0.500).

Record 4
DFT (PBEsol) results for a relaxed structure of LaMgZr2Pb.

The value obtained for the total magnetic moment is 0.000 μB/f.u. The value obtained for the calculated density is 5.8 g/cm³. The value obtained for the electronic total energy is -4.7122 eV per atom. As for the crystal system: tetragonal. As for the energy of formation from the pure elements: 1136.2 meV per atom.

It has space group P4/mmm (No. 123), with a = 5.141 Å, b = 5.141 Å, c = 5.961 Å, α = 90.00°, β = 90.00° and γ = 90.00°. Symmetry generates all atoms from La at (0.000, 0.000, 0.000), Mg at (0.500, 0.500, 0.500), Zr at (0.000, 0.500, 0.000) and Pb at (0.000, 0.000, 0.500).

Record 5
DFT (PBEsol) results for a relaxed structure of LaMg3Pd.

The value obtained for the total magnetic moment is 0.079 μB/f.u. The value obtained for the calculated density is 2.7 g/cm³. The value obtained for the electronic total energy is -1.7210 eV per atom. As for the crystal system: cubic. As for the energy of formation from the pure elements: 1570.3 meV per atom.

It has space group Pm-3m (No. 221), with a = 5.812 Å, b = 5.812 Å, c = 5.812 Å, α = 90.00°, β = 90.00° and γ = 90.00°. Symmetry generates all atoms from La at (0.000, 0.000, 0.000), Mg at (0.000, 0.000, 0.500) and Pd at (0.500, 0.500, 0.500).

Record 6
DFT (PBEsol) results for a relaxed structure of LaMgPd.

The value obtained for the total magnetic moment is 0.000 μB/f.u. The value obtained for the calculated density is 6.5 g/cm³. The value obtained for the electronic total energy is -4.9664 eV per atom. As for the crystal system: hexagonal. As for the energy of formation from the pure elements: -625.7 meV per atom.

It has space group P-62m (No. 189), with a = 7.6298 Å, b = 7.6298 Å, c = 4.1276 Å, α = 90.00°, β = 90.00° and γ = 120.00°. Symmetry generates all atoms from La at (0.0000, 0.4165, 0.0000), Mg at (0.0000, 0.7632, 0.5000), Pd at (0.0000, 0.0000, 0.0000) and Pd at (0.3333, 0.6667, 0.5000).

Record 7
DFT (PBEsol) results for a relaxed structure of LaMg2Pd2.

The value obtained for the total magnetic moment is 0.000 μB/f.u. The value obtained for the calculated density is 6.3 g/cm³. The value obtained for the electronic total energy is -4.7571 eV per atom. As for the crystal system: tetragonal. As for the energy of formation from the pure elements: -617.5 meV per atom.

It has space group I4/mmm (No. 139), with a = 4.109 Å, b = 4.109 Å, c = 12.403 Å, α = 90.00°, β = 90.00° and γ = 90.00°. Symmetry generates all atoms from La at (0.000, 0.000, 0.000), Mg at (0.000, 0.500, 0.250) and Pd at (0.000, 0.000, 0.392).

Record 8
DFT (PBEsol) results for a relaxed structure of LaPmMg2.

The value obtained for the total magnetic moment is 0.000 μB/f.u. The value obtained for the calculated density is 4.8 g/cm³. The value obtained for the electronic total energy is -3.5752 eV per atom. As for the crystal system: cubic. As for the energy of formation from the pure elements: -95.9 meV per atom.

It has space group Fm-3m (No. 225), with a = 7.720 Å, b = 7.720 Å, c = 7.720 Å, α = 90.00°, β = 90.00° and γ = 90.00°. Symmetry generates all atoms from La at (0.000, 0.000, 0.000), Pm at (0.000, 0.000, 0.500) and Mg at (0.250, 0.250, 0.250).

Record 9
DFT (PBEsol) results for a relaxed structure of LaMg2Pt.

The value obtained for the total magnetic moment is 0.000 μB/f.u. The value obtained for the calculated density is 7.7 g/cm³. The value obtained for the electronic total energy is -4.2876 eV per atom. As for the crystal system: cubic. As for the energy of formation from the pure elements: -351.6 meV per atom.

It has space group Fm-3m (No. 225), with a = 6.916 Å, b = 6.916 Å, c = 6.916 Å, α = 90.00°, β = 90.00° and γ = 90.00°. Symmetry generates all atoms from La at (0.000, 0.000, 0.000), Mg at (0.250, 0.250, 0.250) and Pt at (0.000, 0.000, 0.500).

Record 10
DFT (PBEsol) results for a relaxed structure of La2MgPt.

The value obtained for the total magnetic moment is 0.000 μB/f.u. The value obtained for the calculated density is 8.4 g/cm³. The value obtained for the electronic total energy is -5.2213 eV per atom. As for the crystal system: tetragonal. As for the energy of formation from the pure elements: -378.0 meV per atom.

It has space group I-4m2 (No. 119), with a = 4.424 Å, b = 4.424 Å, c = 10.038 Å, α = 90.00°, β = 90.00° and γ = 90.00°. Symmetry generates all atoms from La at (0.000, 0.000, 0.000), La at (0.000, 0.500, 0.250), Mg at (0.000, 0.000, 0.500) and Pt at (0.000, 0.500, 0.750).

Record 11
DFT (PBEsol) results for a relaxed structure of La2MgPt.

The value obtained for the total magnetic moment is 0.000 μB/f.u. The value obtained for the calculated density is 7.9 g/cm³. The value obtained for the electronic total energy is -5.3405 eV per atom. As for the crystal system: orthorhombic. As for the energy of formation from the pure elements: -497.2 meV per atom.

It has space group Imm2 (No. 44), with a = 3.666 Å, b = 5.046 Å, c = 11.276 Å, α = 90.00°, β = 90.00° and γ = 90.00°. Symmetry generates all atoms from La at (0.000, 0.000, 0.000), La at (0.000, 0.500, 0.194), Mg at (0.000, 0.500, 0.800) and Pt at (0.000, 0.000, 0.480).

Record 12
DFT (PBEsol) results for a relaxed structure of LaMg4Pt.

The value obtained for the total magnetic moment is 0.001 μB/f.u. The value obtained for the calculated density is 5.5 g/cm³. The value obtained for the electronic total energy is -3.2294 eV per atom. As for the crystal system: cubic. As for the energy of formation from the pure elements: -33.0 meV per atom.

It has space group F-43m (No. 216), with a = 8.053 Å, b = 8.053 Å, c = 8.053 Å, α = 90.00°, β = 90.00° and γ = 90.00°. Symmetry generates all atoms from La at (0.000, 0.000, 0.000), Mg at (0.124, 0.124, 0.376) and Pt at (0.250, 0.250, 0.750).

Copy entry 2 word for word.
DFT (PBEsol) results for a relaxed structure of LaMg2Pb.

The value obtained for the total magnetic moment is 0.000 μB/f.u. The value obtained for the calculated density is 6.1 g/cm³. The value obtained for the electronic total energy is -3.5402 eV per atom. As for the crystal system: tetragonal. As for the energy of formation from the pure elements: -345.4 meV per atom.

It has space group P4/mmm (No. 123), with a = 4.672 Å, b = 4.672 Å, c = 4.916 Å, α = 90.00°, β = 90.00° and γ = 90.00°. Symmetry generates all atoms from La at (0.000, 0.000, 0.000), Mg at (0.000, 0.500, 0.500) and Pb at (0.500, 0.500, 0.000).

electronic total energy of number 3 (La2MgTaPb)?
-5.3733 eV per atom

The lowest electronic total energy belongs to which entry?
La2MgTaPb

What is the formula in the first record?
LaMgPb2